VASP calculation (PBE) on a relaxed structure of Li2Zn5Ag4.

Unit cell a=6.8506 b=2.8380 c=9.0176 alpha=90.00 beta=94.71 gamma=90.00
With the nearest neighbours (Å) after each atom.
Space group P2/m (No. 10)
Unique sites:
Li (0.0587, 0.0000, 0.1361) [2 per cell]  1 Li 2.52, 2 Zn 2.56-2.58, 6 Ag 2.77-2.82
Zn (0.1982, 0.0000, 0.6705) [2 per cell]  1 Li 2.58, 4 Zn 2.68-2.84, 6 Ag 2.86-2.87
Zn (0.4285, 0.0000, 0.2064) [2 per cell]  1 Li 2.56, 4 Zn 2.65-2.84, 4 Ag 2.84-2.87
Zn (0.5000, 0.0000, 0.5000) [1 per cell]  6 Zn 2.65-2.84, 4 Ag 2.81
Ag (0.1633, 0.5000, 0.3943) [2 per cell]  2 Li 2.77, 8 Zn 2.81-2.95, 3 Ag 2.84-3.06
Ag (0.2870, 0.5000, 0.9428) [2 per cell]  4 Li 2.80-2.82, 6 Zn 2.84-2.87, 3 Ag 2.84-3.01

Results
Energy in eV per atom: -2.046
Calculated formation energy in eV/atom: -0.08
Fermi-level density of states in states/eV per atom: 0.339
Magnetization in μB per formula unit: 0.0